Here is YRhSe2Br after structural relaxation from the Alexandria database. Energies are from PBE.

Energy above the most stable polymorph in this dataset: 0 meV per atom
Spin magnetization: 0.00 μB per cell
Formation energy from raw total energies: -0.527 eV per atom
Crystal system: tetragonal

Lattice parameters (Å, degrees): 4.978 4.978 4.828 90.00 90.00 90.00
Element x y z (fractional)
Y 0.500 0.500 0.500
Rh 0.000 0.000 0.000
Se 0.000 0.500 0.000
Se 0.500 0.000 0.000
Br 0.000 0.000 0.500